First-principles (PBE-GGA) data for an optimized crystal structure of Mg4Tl3Cd2, as listed in Alexandria.

Geometry as extended XYZ:
```
18
Lattice="-6.878 -1.197 2.258 1.427 -0.645 -8.399 1.673 -7.928 0.893" Properties=species:S:1:pos:R:3 pbc="T T T"
Mg -1.467 -8.556 -5.267
Tl 0.075 -5.946 -1.018
Mg -4.882 -2.533 -1.480
Mg -2.311 -1.214 0.019
Mg 1.105 -7.237 -3.769
Cd -2.569 -4.187 0.060
Cd 0.249 -0.644 -1.400
Cd -1.209 -5.583 -5.309
Tl -3.189 -7.376 0.205
Mg 1.427 -5.372 -6.687
Mg -1.140 -3.371 -2.447
Tl -3.852 -3.824 -4.231
Mg -5.204 -4.398 1.439
Cd -4.026 -9.126 -3.849
Tl -0.589 -2.395 -5.454
Mg -2.637 -6.399 -2.802
Tl -2.725 -0.921 -3.071
Tl 1.550 -4.287 -3.753
```

For the formation energy from the elements, the calculation gives 0.02 eV per atom. As for the crystal system: monoclinic. The volume is 25.40 Å³/atom. The magnetization comes out at 0.000 μB/atom.